No. 1
The following is a PBE calculation of a relaxed structure of NaCoGe2, from Alexandria via LeMat-Bulk.

Lattice parameters (Å, degrees): 3.9472 3.9472 17.0838 90.00 90.00 120.00
Last column: nearest neighbours and their distance in Å.
Space group R3m (No. 160, hexagonal axes)
Symmetry-distinct sites (fractional):
Na1 0.0000 0.0000 0.0000 x3  1 Co 3.01, 6 Ge 3.02-3.14
Co1 0.0000 0.0000 0.1763 x3  6 Ge 2.38-2.43
Ge1 0.0000 0.0000 0.5505 x3  3 Co 2.38
Ge2 0.0000 0.0000 0.7930 x3  3 Co 2.43

Values from the calculation:
ΔH_f (0 K)   -0.0708 eV per atom
DOS(E_F)   0.68 states/eV per atom
Energy above the most stable polymorph in this dataset   38 meV/atom


No. 2
The following is a PBE calculation of a relaxed structure of BaSrMg, from Alexandria via LeMat-Bulk.

Lattice parameters (Å, degrees): 8.4326 8.4326 8.4326 90.00 90.00 90.00
Last column: nearest neighbours and their distance in Å.
Space group F-43m (No. 216)
Symmetry-distinct sites (fractional):
Ba1 0.0000 0.0000 0.0000 x4  4 Sr 3.65
Sr1 0.2500 0.2500 0.2500 x4  4 Ba 3.65, 4 Mg 3.65
Mg1 0.0000 0.0000 0.5000 x4  4 Sr 3.65

Values from the calculation:
ΔH_f (0 K)   0.4169 eV per atom
DOS(E_F)   1.76 states/eV per atom
Energy above the most stable polymorph in this dataset   449 meV/atom


No. 3
The following is a PBE calculation of a relaxed structure of TmTi2Nb, from Alexandria via LeMat-Bulk.

Lattice parameters (Å, degrees): 3.0866 3.0866 29.5903 90.00 90.00 120.00
Last column: nearest neighbours and their distance in Å.
Space group R-3m (No. 166, hexagonal axes)
Symmetry-distinct sites (fractional):
Tm1 0.0000 0.0000 0.0000 x3  6 Tm 3.09, 6 Ti 3.23
Ti1 0.0000 0.0000 0.2421 x6  3 Nb 2.86, 6 Ti 3.09
Nb1 0.0000 0.0000 0.5000 x3  6 Ti 2.86, 6 Nb 3.09

Values from the calculation:
ΔH_f (0 K)   0.2771 eV per atom
DOS(E_F)   1.89 states/eV per atom
Energy above the most stable polymorph in this dataset   203 meV/atom


No. 4
The following is a PBE calculation of a relaxed structure of Dy6Ho3Er2Sc, from Alexandria via LeMat-Bulk.

Lattice parameters (Å, degrees): 6.0822 10.5240 11.6136 90.00 100.02 90.00
Last column: nearest neighbours and their distance in Å.
Space group C2/m (No. 12)
Symmetry-distinct sites (fractional):
Dy1 0.2475 0.1656 0.2472 x8  1 Sc 3.47, 2 Er 3.48, 6 Dy 3.48-3.52, 3 Ho 3.52-3.54
Dy2 0.2491 0.0000 0.7525 x4  1 Sc 3.47, 2 Er 3.48, 6 Dy 3.49-3.52, 3 Ho 3.52-3.53
Ho1 0.0000 0.1666 0.5000 x4  6 Ho 3.51, 6 Dy 3.52-3.54
Ho2 0.0000 0.5000 0.5000 x2  6 Ho 3.51, 6 Dy 3.53
Er1 0.0000 0.3334 0.0000 x4  6 Dy 3.48, 3 Er 3.51, 3 Sc 3.51
Sc1 0.0000 0.0000 0.0000 x2  6 Dy 3.47, 6 Er 3.51

Values from the calculation:
ΔH_f (0 K)   0.0275 eV per atom
DOS(E_F)   1.39 states/eV per atom